A plane-wave DFT calculation with PBE with a Hubbard U was carried out for a relaxed structure of Zr3WO.

Its total magnetization is 1.13 Bohr magnetons per cell. For the total energy, the calculation gives -6.10 eV per atom. As for the energy above the most stable polymorph in this dataset: 2.193 eV per atom.

Lattice parameters (Å, degrees): 5.1345 5.1345 5.1345 90.00 90.00 90.00
Space group Pm-3m (No. 221)
Inequivalent atoms, fractional coordinates:
Zr 0.0000 0.0000 0.5000
W 0.0000 0.0000 0.0000
O 0.5000 0.5000 0.5000